[1]
An optimized crystal structure of Te2AsOs. Source: the Alexandria database, functional PBE-GGA.

Values from the calculation:
The density of states at the Fermi level comes out at 4.2 states/eV per cell. The calculation puts the total DFT energy (no corrections) at -5.15 eV per atom. The formation energy without anion corrections is 0.39 eV/atom.

Lattice parameters (Å, degrees): 3.176 4.981 11.726 90.00 90.00 90.00
Space group Imm2 (No. 44)
One atom of each set of equivalent atoms:
1 Te 0.000 0.000 0.000 (multiplicity 2)
2 Te 0.000 0.500 0.206 (multiplicity 2)
3 As 0.000 0.000 0.359 (multiplicity 2)
4 Os 0.000 0.500 0.692 (multiplicity 2)



[2]
An optimized crystal structure of TeAs2Os. Source: the Alexandria database, functional PBE-GGA.

Values from the calculation:
The density of states at the Fermi level comes out at 2.4 states/eV per cell. The calculation puts the total DFT energy (no corrections) at -5.45 eV per atom. The formation energy without anion corrections is 0.47 eV/atom.

Lattice parameters (Å, degrees): 3.191 3.602 7.316 90.00 90.00 90.00
Space group Pmm2 (No. 25)
One atom of each set of equivalent atoms:
1 Te 0.000 0.000 0.000 (multiplicity 1)
2 As 0.000 0.000 0.592 (multiplicity 1)
3 As 0.500 0.500 0.428 (multiplicity 1)
4 Os 0.500 0.500 0.793 (multiplicity 1)



[3]
An optimized crystal structure of Te2AsOs. Source: the Alexandria database, functional PBE-GGA.

Values from the calculation:
The density of states at the Fermi level comes out at 2.6 states/eV per cell. The calculation puts the total DFT energy (no corrections) at -4.94 eV per atom. The formation energy without anion corrections is 0.60 eV/atom.

Lattice parameters (Å, degrees): 2.860 3.920 8.473 90.00 90.05 90.00
Space group P2/m (No. 10)
One atom of each set of equivalent atoms:
1 Te 0.002 0.000 0.284 (multiplicity 2)
2 As 0.000 0.500 0.000 (multiplicity 1)
3 Os 0.000 0.500 0.500 (multiplicity 1)



[4]
An optimized crystal structure of TeAsOs2. Source: the Alexandria database, functional PBE-GGA.

Values from the calculation:
The density of states at the Fermi level comes out at 20.0 states/eV per cell. For the energy above the most stable polymorph in this dataset, the calculation gives 3.18 eV/f.u. The calculation puts the total DFT energy (no corrections) at -6.41 eV per atom. The formation energy without anion corrections is 1.15 eV/atom.

Lattice parameters (Å, degrees): 6.530 6.530 6.530 90.00 90.00 90.00
Space group F-43m (No. 216)
One atom of each set of equivalent atoms:
1 Te 0.000 0.000 0.000 (multiplicity 4)
2 As 0.250 0.250 0.750 (multiplicity 4)
3 Os 0.000 0.000 0.500 (multiplicity 4)
4 Os 0.250 0.250 0.250 (multiplicity 4)



[5]
An optimized crystal structure of TeAsOs. Source: the Alexandria database, functional PBE-GGA.

Values from the calculation:
The density of states at the Fermi level comes out at 12.1 states/eV per cell. The calculation puts the total DFT energy (no corrections) at -5.75 eV per atom. The formation energy without anion corrections is 0.59 eV/atom.

Lattice parameters (Å, degrees): 3.150 5.286 15.856 90.00 90.00 90.00
Space group Fmm2 (No. 42)
One atom of each set of equivalent atoms:
1 Te 0.000 0.000 0.000 (multiplicity 4)
2 As 0.000 0.000 0.733 (multiplicity 4)
3 Os 0.000 0.000 0.349 (multiplicity 4)



[6]
An optimized crystal structure of Te2AsOs. Source: the Alexandria database, functional PBE-GGA.

Values from the calculation:
The density of states at the Fermi level comes out at 2.4 states/eV per cell. The calculation puts the total DFT energy (no corrections) at -5.04 eV per atom. The formation energy without anion corrections is 0.50 eV/atom.

Lattice parameters (Å, degrees): 3.205 3.772 7.605 90.00 90.00 90.00
Space group Pmm2 (No. 25)
One atom of each set of equivalent atoms:
1 Te 0.000 0.000 0.000 (multiplicity 1)
2 Te 0.500 0.500 0.401 (multiplicity 1)
3 As 0.000 0.000 0.636 (multiplicity 1)
4 Os 0.500 0.500 0.774 (multiplicity 1)



[7]
An optimized crystal structure of TeAsOs2. Source: the Alexandria database, functional PBE-GGA.

Values from the calculation:
The density of states at the Fermi level comes out at 2.7 states/eV per cell. For the energy above the most stable polymorph in this dataset, the calculation gives 0.18 eV/f.u. The calculation puts the total DFT energy (no corrections) at -7.16 eV per atom. The formation energy without anion corrections is 0.40 eV/atom.

Lattice parameters (Å, degrees): 3.026 3.026 8.226 90.00 90.00 90.00
Space group P4mm (No. 99)
One atom of each set of equivalent atoms:
1 Te 0.000 0.000 0.000 (multiplicity 1)
2 As 0.500 0.500 0.388 (multiplicity 1)
3 Os 0.000 0.000 0.565 (multiplicity 1)
4 Os 0.500 0.500 0.798 (multiplicity 1)



[8]
An optimized crystal structure of Te2AsOs. Source: the Alexandria database, functional PBE-GGA.

Values from the calculation:
The density of states at the Fermi level comes out at 8.9 states/eV per cell. The calculation puts the total DFT energy (no corrections) at -5.10 eV per atom. The formation energy without anion corrections is 0.44 eV/atom.

Lattice parameters (Å, degrees): 3.664 4.038 13.538 90.00 90.00 90.00
Space group Immm (No. 71)
One atom of each set of equivalent atoms:
1 Te 0.000 0.000 0.152 (multiplicity 4)
2 As 0.000 0.500 0.000 (multiplicity 2)
3 Os 0.000 0.500 0.500 (multiplicity 2)



[9]
An optimized crystal structure of Te2AsOs. Source: the Alexandria database, functional PBE-GGA.

Values from the calculation:
The density of states at the Fermi level comes out at 12.5 states/eV per cell. The calculation puts the total DFT energy (no corrections) at -4.88 eV per atom. The formation energy without anion corrections is 0.66 eV/atom.

Lattice parameters (Å, degrees): 3.1638 3.1638 33.1303 90.00 90.00 120.00
Space group R-3m (No. 166, hexagonal axes)
One atom of each set of equivalent atoms:
1 Te 0.0000 0.0000 0.1038 (multiplicity 6)
2 As 0.0000 0.0000 0.0000 (multiplicity 3)
3 Os 0.0000 0.0000 0.5000 (multiplicity 3)



[10]
An optimized crystal structure of TeAs2Os. Source: the Alexandria database, functional PBE-GGA.

Values from the calculation:
The density of states at the Fermi level comes out at 3.8 states/eV per cell. The calculation puts the total DFT energy (no corrections) at -5.07 eV per atom. The formation energy without anion corrections is 0.85 eV/atom.

Lattice parameters (Å, degrees): 5.517 8.381 3.295 90.00 90.00 90.00
Space group Cmmm (No. 65)
One atom of each set of equivalent atoms:
1 Te 0.000 0.000 0.000 (multiplicity 2)
2 As 0.250 0.250 0.500 (multiplicity 4)
3 Os 0.000 0.500 0.000 (multiplicity 2)



[11]
An optimized crystal structure of Te2AsOs. Source: the Alexandria database, functional PBE-GGA.

Values from the calculation:
The density of states at the Fermi level comes out at 5.6 states/eV per cell. The calculation puts the total DFT energy (no corrections) at -5.36 eV per atom. The formation energy without anion corrections is 0.18 eV/atom.

Lattice parameters (Å, degrees): 3.907 5.184 9.311 90.00 90.00 90.00
Space group Amm2 (No. 38)
One atom of each set of equivalent atoms:
1 Te 0.000 0.000 0.000 (multiplicity 2)
2 Te 0.500 0.000 0.309 (multiplicity 2)
3 As 0.500 0.000 0.679 (multiplicity 2)
4 Os 0.000 0.000 0.511 (multiplicity 2)



[12]
An optimized crystal structure of TeAsOs2. Source: the Alexandria database, functional PBE-GGA.

Values from the calculation:
The density of states at the Fermi level comes out at 8.8 states/eV per cell. For the energy above the most stable polymorph in this dataset, the calculation gives 1.69 eV/f.u. The calculation puts the total DFT energy (no corrections) at -6.78 eV per atom. The formation energy without anion corrections is 0.78 eV/atom.

Lattice parameters (Å, degrees): 2.907 5.165 10.255 90.00 90.00 90.00
Space group Cmm2 (No. 35)
One atom of each set of equivalent atoms:
1 Te 0.000 0.000 0.000 (multiplicity 2)
2 As 0.000 0.500 0.649 (multiplicity 2)
3 Os 0.000 0.000 0.446 (multiplicity 2)
4 Os 0.000 0.500 0.233 (multiplicity 2)



[13]
An optimized crystal structure of TeAsOs4. Source: the Alexandria database, functional PBE-GGA.

Values from the calculation:
The density of states at the Fermi level comes out at 36.7 states/eV per cell. The calculation puts the total DFT energy (no corrections) at -7.67 eV per atom. The formation energy without anion corrections is 1.12 eV/atom.

Lattice parameters (Å, degrees): 7.486 7.486 7.486 90.00 90.00 90.00
Space group F-43m (No. 216)
One atom of each set of equivalent atoms:
1 Te 0.000 0.000 0.000 (multiplicity 4)
2 As 0.250 0.250 0.750 (multiplicity 4)
3 Os 0.125 0.125 0.375 (multiplicity 16)



[14]
An optimized crystal structure of TeAs2Os. Source: the Alexandria database, functional PBE-GGA.

Values from the calculation:
The density of states at the Fermi level comes out at 3.7 states/eV per cell. The calculation puts the total DFT energy (no corrections) at -5.03 eV per atom. The formation energy without anion corrections is 0.89 eV/atom.

Lattice parameters (Å, degrees): 4.803 4.803 3.213 90.00 90.00 90.00
Space group P4/mmm (No. 123)
One atom of each set of equivalent atoms:
1 Te 0.000 0.000 0.000 (multiplicity 1)
2 As 0.000 0.500 0.500 (multiplicity 2)
3 Os 0.500 0.500 0.000 (multiplicity 1)



[15]
An optimized crystal structure of TeAs2Os. Source: the Alexandria database, functional PBE-GGA.

Values from the calculation:
The density of states at the Fermi level comes out at 5.2 states/eV per cell. The calculation puts the total DFT energy (no corrections) at -5.70 eV per atom. The formation energy without anion corrections is 0.22 eV/atom.

Lattice parameters (Å, degrees): 3.1108 3.1108 30.8553 90.00 90.00 120.00
Space group R-3m (No. 166, hexagonal axes)
One atom of each set of equivalent atoms:
1 Te 0.0000 0.0000 0.0000 (multiplicity 3)
2 As 0.0000 0.0000 0.2264 (multiplicity 6)
3 Os 0.0000 0.0000 0.5000 (multiplicity 3)